DFT (GGA-PBEsol) results for crystalline InTcHg at its relaxed geometry.

a b c (Å): 3.003 3.003 7.290
angles (deg): 96.25 96.25 118.14
Each line ends with the local moment (μB).
Fractional coordinates of all 3 atoms:
Hg 0.007 0.007 0.014  0.00
In 0.325 0.325 0.649  -0.01
Tc 0.668 0.668 0.337  0.88

Total moment   0.303 μB per atom
Theoretical density   12.12 Mg/m³
ΔE_f   0.56 eV per atom